# CeSmTc2 | the Alexandria database | PBE | relaxed
# energy of formation = 0.15 eV/atom
# density of states at the Fermi level = 5.5 states/eV/f.u.
# space group = Fm-3m
# distance to the lowest polymorph of the same formula = 54 meV per atom
data_CeSmTc2
_space_group_name_H-M_alt 'P 1'
_space_group_IT_number 1
_cell_length_a 4.8938
_cell_length_b 4.8938
_cell_length_c 4.8938
_cell_angle_alpha 60.00
_cell_angle_beta 60.00
_cell_angle_gamma 60.00
loop_
_space_group_symop_operation_xyz
'x,y,z'
loop_
_atom_site_label
_atom_site_fract_x
_atom_site_fract_y
_atom_site_fract_z
_atom_site_occupancy
Ce1 0.0000 0.0000 0.0000 1
Sm1 0.5000 0.5000 0.5000 1
Tc1 0.2500 0.2500 0.2500 1
Tc2 0.7500 0.7500 0.7500 1